1.
The following is a DFT calculation (PBE-GGA) of crystalline Ca2Pt at its relaxed geometry.

```
Ca2Pt
1.0
-1.7786 1.7786 13.7275
1.7786 -1.7786 13.7275
1.7786 1.7786 -13.7275
Ca Pt
4 2
direct
0.3147 0.5647 0.7500
0.4353 0.6853 0.7500
0.5647 0.3147 0.2500
0.6853 0.4353 0.2500
0.1250 0.8750 0.2500
0.8750 0.1250 0.7500
```

- ΔE_f: -0.65 eV/atom

---

2.
The following is a DFT calculation (PBE-GGA) of crystalline CaPt at its relaxed geometry.

```
CaPt
1.0
-4.2958 4.2958 4.2958
4.2958 -4.2958 4.2958
4.2958 4.2958 -4.2958
Ca Pt
4 4
direct
0.0000 0.0000 0.6016
0.0000 0.6016 0.0000
0.3984 0.3984 0.3984
0.6016 0.0000 0.0000
0.0000 0.0000 0.2316
0.0000 0.2316 0.0000
0.2316 0.0000 0.0000
0.7684 0.7684 0.7684
```

- ΔE_f: -0.35 eV/atom

---

3.
The following is a DFT calculation (PBE-GGA) of crystalline Ca3Pt2 at its relaxed geometry.

```
Ca3Pt2
1.0
-2.2914 3.0900 4.3767
2.2914 -3.0900 4.3767
2.2914 3.0900 -4.3767
Ca Pt
3 2
direct
0.0000 0.0000 0.0000
0.2973 0.7973 0.5000
0.7027 0.2027 0.5000
0.2849 0.5000 0.7849
0.7151 0.5000 0.2151
```

- Energy above the most stable polymorph in this dataset: 57 meV per atom
- ΔE_f: -0.81 eV/atom

---

4.
The following is a DFT calculation (PBE-GGA) of crystalline CaPt at its relaxed geometry.

```
CaPt
1.0
-2.2158 2.2158 8.7111
2.2158 -2.2158 8.7111
2.2158 2.2158 -8.7111
Ca Pt
4 4
direct
0.1001 0.1001 0.0000
0.2500 0.7500 0.5000
0.7500 0.2500 0.5000
0.8999 0.8999 0.0000
0.0000 0.5000 0.5000
0.3684 0.3684 0.0000
0.5000 0.0000 0.5000
0.6316 0.6316 0.0000
```

- ΔE_f: -0.50 eV/atom

---

5.
The following is a DFT calculation (PBE-GGA) of crystalline Ca3Pt2 at its relaxed geometry.

```
Ca3Pt2
1.0
4.9310 0.0000 0.0000
-2.4655 4.2703 0.0000
0.0000 0.0000 6.0542
Ca Pt
3 2
direct
0.0000 0.0000 0.0000
0.3333 0.6667 0.3334
0.6667 0.3333 0.6666
0.3333 0.6667 0.8348
0.6667 0.3333 0.1652
```

- Energy above the most stable polymorph in this dataset: 44 meV per atom
- ΔE_f: -0.82 eV/atom

---

6.
The following is a DFT calculation (PBE-GGA) of crystalline Ca3Pt at its relaxed geometry.

```
Ca3Pt
1.0
4.6667 0.0000 0.0000
0.0000 4.6667 0.0000
0.0000 0.0000 5.7745
Ca Pt
3 1
direct
0.0000 0.0000 0.0000
0.0000 0.5000 0.5329
0.5000 0.0000 0.5329
0.5000 0.5000 0.8446
```

- ΔE_f: -0.33 eV/atom

---

7.
The following is a DFT calculation (PBE-GGA) of crystalline Ca4Pt3 at its relaxed geometry.

```
Ca4Pt3
1.0
5.6737 0.0000 0.0000
-2.8368 4.9136 0.0000
0.0000 0.0000 5.7612
Ca Pt
4 3
direct
0.0000 0.0000 0.2285
0.0000 0.0000 0.7715
0.3333 0.6667 0.5000
0.6667 0.3333 0.5000
0.0000 0.5000 0.0000
0.5000 0.0000 0.0000
0.5000 0.5000 0.0000
```

- Energy above the most stable polymorph in this dataset: 315 meV per atom
- ΔE_f: -0.54 eV/atom

---

8.
The following is a DFT calculation (PBE-GGA) of crystalline Ca2Pt at its relaxed geometry.

```
Ca2Pt
1.0
6.3357 -1.9563 0.0000
6.3357 1.9563 0.0000
-0.0140 0.0000 6.8067
Ca Pt
4 2
direct
0.0000 0.0000 0.0000
0.0225 0.0225 0.5000
0.2886 0.2886 0.6852
0.7338 0.7338 0.1857
0.3956 0.3956 0.2763
0.6269 0.6269 0.7766
```

- ΔE_f: -0.72 eV/atom

---

9.
The following is a DFT calculation (PBE-GGA) of crystalline Ca3Pt at its relaxed geometry.

```
Ca3Pt
1.0
3.6289 0.0000 0.0000
0.0000 3.6289 0.0000
0.0000 0.0000 9.3771
Ca Pt
3 1
direct
0.0000 0.0000 0.0000
0.5000 0.5000 0.3258
0.5000 0.5000 0.6742
0.0000 0.0000 0.5000
```

- ΔE_f: -0.50 eV/atom

---

10.
The following is a DFT calculation (PBE-GGA) of crystalline Ca3Pt at its relaxed geometry.

```
Ca3Pt
1.0
3.7890 0.0000 0.0000
0.0000 3.8034 0.0000
0.0000 0.0000 9.6225
Ca Pt
3 1
direct
0.0000 0.0000 0.0000
0.0000 0.5000 0.3394
0.5000 0.5000 0.6923
0.5000 0.0000 0.2207
```

- ΔE_f: -0.35 eV/atom

---

11.
The following is a DFT calculation (PBE-GGA) of crystalline Ca4Pt3 at its relaxed geometry.

```
Ca4Pt3
1.0
2.4683 1.4251 8.0414
-2.4683 1.4251 8.0414
0.0000 -2.8501 8.0414
Ca Pt
4 3
direct
0.1246 0.1246 0.1246
0.3748 0.3748 0.3748
0.6252 0.6252 0.6252
0.8754 0.8754 0.8754
0.0000 0.0000 0.0000
0.2498 0.2498 0.2498
0.7502 0.7502 0.7502
```

- Energy above the most stable polymorph in this dataset: 0 meV per atom
- ΔE_f: -0.85 eV/atom

---

12.
The following is a DFT calculation (PBE-GGA) of crystalline CaPt6 at its relaxed geometry.

```
CaPt6
1.0
8.7516 0.0000 0.0000
0.0000 5.4277 0.0000
0.0000 0.0000 10.5746
Ca Pt
4 24
direct
0.2416 0.2500 0.0586
0.2584 0.7500 0.5586
0.7416 0.2500 0.4414
0.7584 0.7500 0.9414
0.0656 0.0055 0.3034
0.0656 0.4945 0.3034
0.0732 0.7500 0.0791
0.1134 0.2500 0.5206
0.1600 0.7500 0.8379
0.1765 0.2500 0.7764
0.3235 0.7500 0.2764
0.3400 0.2500 0.3379
0.3866 0.7500 0.0206
0.4268 0.2500 0.5791
0.4344 0.5055 0.8034
0.4344 0.9945 0.8034
0.5656 0.0055 0.1966
0.5656 0.4945 0.1966
0.5732 0.7500 0.4209
0.6134 0.2500 0.9794
0.6600 0.7500 0.6621
0.6765 0.2500 0.7236
0.8235 0.7500 0.2236
0.8400 0.2500 0.1621
0.8866 0.7500 0.4794
0.9268 0.2500 0.9209
0.9344 0.5055 0.6966
0.9344 0.9945 0.6966
```

- Energy above the most stable polymorph in this dataset: 0 meV per atom
- ΔE_f: -0.34 eV/atom

---

13.
The following is a DFT calculation (PBE-GGA) of crystalline Ca2Pt at its relaxed geometry.

```
Ca2Pt
1.0
0.0000 6.8608 6.8608
6.8608 0.0000 6.8608
6.8608 6.8608 0.0000
Ca Pt
16 8
direct
0.0000 0.0000 0.0000
0.0000 0.0000 0.5000
0.0000 0.5000 0.0000
0.1790 0.1790 0.5710
0.1790 0.5710 0.1790
0.1790 0.5710 0.5710
0.4290 0.4290 0.8210
0.4290 0.8210 0.4290
0.4290 0.8210 0.8210
0.5000 0.0000 0.0000
0.5710 0.1790 0.1790
0.5710 0.1790 0.5710
0.5710 0.5710 0.1790
0.8210 0.4290 0.4290
0.8210 0.4290 0.8210
0.8210 0.8210 0.4290
0.1860 0.7713 0.7713
0.2287 0.2287 0.2287
0.2287 0.2287 0.8140
0.2287 0.8140 0.2287
0.7713 0.1860 0.7713
0.7713 0.7713 0.1860
0.7713 0.7713 0.7713
0.8140 0.2287 0.2287
```

- ΔE_f: -0.68 eV/atom

---

14.
The following is a DFT calculation (PBE-GGA) of crystalline Ca3Pt at its relaxed geometry.

```
Ca3Pt
1.0
-1.8138 2.6287 6.6027
1.8138 -2.6287 6.6027
1.8138 2.6287 -6.6027
Ca Pt
3 1
direct
0.0000 0.0000 0.0000
0.3275 0.8275 0.5000
0.6725 0.1725 0.5000
0.5000 0.5000 0.0000
```

- ΔE_f: -0.48 eV/atom

---

15.
The following is a DFT calculation (PBE-GGA) of crystalline Ca3Pt at its relaxed geometry.

```
Ca3Pt
1.0
6.8501 0.0000 0.0000
-3.4251 5.9324 0.0000
0.0000 0.0000 10.7574
Ca Pt
12 4
direct
0.0000 0.5000 0.0000
0.0000 0.5000 0.5000
0.1572 0.3144 0.2500
0.1572 0.8428 0.2500
0.3144 0.1572 0.7500
0.5000 0.0000 0.0000
0.5000 0.0000 0.5000
0.5000 0.5000 0.0000
0.5000 0.5000 0.5000
0.6856 0.8428 0.2500
0.8428 0.1572 0.7500
0.8428 0.6856 0.7500
0.0000 0.0000 0.0000
0.0000 0.0000 0.5000
0.3333 0.6667 0.7500
0.6667 0.3333 0.2500
```

- ΔE_f: -0.34 eV/atom

---

16.
The following is a DFT calculation (PBE-GGA) of crystalline CaPt at its relaxed geometry.

```
CaPt
1.0
-2.0632 2.1006 4.8415
2.0632 -2.1006 4.8415
2.0632 2.1006 -4.8415
Ca Pt
2 2
direct
0.3735 0.1235 0.2500
0.6265 0.8765 0.7500
0.1224 0.3724 0.7500
0.8776 0.6276 0.2500
```

- ΔE_f: -0.74 eV/atom

---

17.
The following is a DFT calculation (PBE-GGA) of crystalline CaPt at its relaxed geometry.

```
CaPt
1.0
7.0217 0.0000 0.0000
0.0000 4.5777 0.0000
-2.8824 0.0000 8.4897
Ca Pt
6 6
direct
0.0401 0.0000 0.3242
0.2814 0.0000 0.0949
0.3354 0.5000 0.7743
0.6646 0.5000 0.2257
0.7186 0.0000 0.9051
0.9599 0.0000 0.6758
0.0000 0.5000 0.0000
0.0000 0.5000 0.5000
0.3211 0.5000 0.3746
0.4027 0.0000 0.6084
0.5973 0.0000 0.3916
0.6789 0.5000 0.6254
```

- ΔE_f: -0.54 eV/atom

---

18.
The following is a DFT calculation (PBE-GGA) of crystalline CaPt at its relaxed geometry.

```
CaPt
1.0
5.4457 -1.5378 0.0000
5.4457 1.5378 0.0000
-0.9850 0.0000 5.0336
Ca Pt
2 2
direct
0.0991 0.0991 0.3074
0.9009 0.9009 0.6926
0.3499 0.3499 0.1704
0.6501 0.6501 0.8296
```

- ΔE_f: -0.75 eV/atom

---

19.
The following is a DFT calculation (PBE-GGA) of crystalline CaPt at its relaxed geometry.

```
CaPt
1.0
3.9578 0.0000 0.0000
0.0000 6.4212 0.0000
0.0000 0.0000 10.3007
Ca Pt
6 6
direct
0.0000 0.0000 0.0000
0.0000 0.0000 0.2953
0.0000 0.0000 0.7047
0.0000 0.5000 0.0000
0.5000 0.2838 0.5000
0.5000 0.7162 0.5000
0.0000 0.5000 0.3164
0.0000 0.5000 0.6836
0.5000 0.2725 0.1777
0.5000 0.2725 0.8223
0.5000 0.7275 0.1777
0.5000 0.7275 0.8223
```

- ΔE_f: -0.58 eV/atom

---

20.
The following is a DFT calculation (PBE-GGA) of crystalline Ca6Pt at its relaxed geometry.

```
Ca6Pt
1.0
13.0415 0.0000 0.0000
0.0000 11.9196 0.0000
0.0000 0.0000 6.8489
Ca Pt
24 4
direct
0.0010 0.0817 0.2483
0.0009 0.2500 0.7465
0.0010 0.4183 0.2483
0.2482 0.7500 0.9141
0.2502 0.0837 0.9148
0.2502 0.4163 0.9148
0.2498 0.5837 0.4148
0.2498 0.9163 0.4148
0.2518 0.2500 0.4141
0.4990 0.5817 0.7483
0.4991 0.7500 0.2465
0.4990 0.9183 0.7483
0.5010 0.0817 0.2517
0.5009 0.2500 0.7535
0.5010 0.4183 0.2517
0.7482 0.7500 0.5859
0.7502 0.0837 0.5853
0.7502 0.4163 0.5853
0.7498 0.5837 0.0853
0.7498 0.9163 0.0853
0.7518 0.2500 0.0859
0.9990 0.5817 0.7517
0.9991 0.7500 0.2535
0.9990 0.9183 0.7517
0.1243 0.2500 0.0823
0.3757 0.7500 0.5823
0.6243 0.2500 0.4177
0.8757 0.7500 0.9177
```

- ΔE_f: -0.35 eV/atom

---

21.
The following is a DFT calculation (PBE-GGA) of crystalline Ca8Pt at its relaxed geometry.

```
Ca8Pt
1.0
-6.4356 6.4356 1.9879
6.4356 -6.4356 1.9879
6.4356 6.4356 -1.9879
Ca Pt
8 1
direct
0.0000 0.3345 0.3345
0.0000 0.6655 0.6655
0.3345 0.0000 0.3345
0.3649 0.3649 0.7298
0.3649 0.6351 0.0000
0.6351 0.3649 0.0000
0.6351 0.6351 0.2702
0.6655 0.0000 0.6655
0.0000 0.0000 0.0000
```

- ΔE_f: -0.14 eV/atom

---

22.
The following is a DFT calculation (PBE-GGA) of crystalline CaPt5 at its relaxed geometry.

```
CaPt5
1.0
2.0404 -6.2088 0.0000
2.0404 6.2088 0.0000
0.0000 0.0000 3.9545
Ca Pt
1 5
direct
0.0000 0.0000 0.0000
0.1745 0.8255 0.5000
0.3349 0.6651 0.0000
0.5000 0.5000 0.5000
0.6651 0.3349 0.0000
0.8255 0.1745 0.5000
```

- ΔE_f: -0.38 eV/atom